1.
A plane-wave DFT calculation with GGA-PBE was carried out for an optimized crystal structure of Ti3ZnI.

The structure in CIF format:
```
data_Ti3ZnI
_cell_length_a 4.8075
_cell_length_b 4.8075
_cell_length_c 4.8075
_cell_angle_alpha 90.00
_cell_angle_beta 90.00
_cell_angle_gamma 90.00
_space_group_name_H-M_alt 'P 1'
_space_group_IT_number 1
_space_group_name_Hall 'P 1'
loop_
_atom_site_label
_atom_site_type_symbol
_atom_site_fract_x
_atom_site_fract_y
_atom_site_fract_z
_atom_site_occupancy
I1 I 0.5000 0.5000 0.5000 1
Zn1 Zn 0.0000 0.0000 0.0000 1
Ti1 Ti 0.0000 0.5000 0.0000 1
Ti2 Ti 0.0000 0.0000 0.5000 1
Ti3 Ti 0.5000 0.0000 0.0000 1
```

Output
Formation energy from raw total energies (eV per atom): 0.735

---

2.
A plane-wave DFT calculation with GGA-PBE was carried out for an optimized crystal structure of TaP3.

The structure in CIF format:
```
data_TaP3
_cell_length_a 3.1409
_cell_length_b 3.4480
_cell_length_c 5.8482
_cell_angle_alpha 71.16
_cell_angle_beta 90.00
_cell_angle_gamma 90.00
_space_group_name_H-M_alt 'P 1'
_space_group_IT_number 1
_space_group_name_Hall 'P 1'
loop_
_atom_site_label
_atom_site_type_symbol
_atom_site_fract_x
_atom_site_fract_y
_atom_site_fract_z
_atom_site_occupancy
P1 P 0.0000 0.8778 0.0122 1
P2 P 0.5000 0.7500 0.7500 1
P3 P 0.0000 0.6222 0.4878 1
Ta1 Ta 0.5000 0.2500 0.2500 1
```

Output
Energy relative to the elements (eV/atom): -0.1330

---

3.
A plane-wave DFT calculation with GGA-PBE was carried out for an optimized crystal structure of CePmTl.

The structure in CIF format:
```
data_CePmTl
_cell_length_a 4.1857
_cell_length_b 4.1857
_cell_length_c 5.7959
_cell_angle_alpha 111.17
_cell_angle_beta 111.17
_cell_angle_gamma 90.00
_space_group_name_H-M_alt 'P 1'
_space_group_IT_number 1
_space_group_name_Hall 'P 1'
loop_
_atom_site_label
_atom_site_type_symbol
_atom_site_fract_x
_atom_site_fract_y
_atom_site_fract_z
_atom_site_occupancy
Tl1 Tl 0.9497 0.9497 0.8994 1
Ce1 Ce 0.6081 0.6081 0.2162 1
Pm1 Pm 0.2922 0.2922 0.5844 1
```

Output
Energy relative to the elements (eV/atom): -0.1180

---

4.
A plane-wave DFT calculation with GGA-PBE was carried out for an optimized crystal structure of Cs2ZnCd3.

The structure in CIF format:
```
data_Cs2ZnCd3
_cell_length_a 5.7187
_cell_length_b 9.4298
_cell_length_c 9.4298
_cell_angle_alpha 73.31
_cell_angle_beta 89.99
_cell_angle_gamma 90.00
_space_group_name_H-M_alt 'P 1'
_space_group_IT_number 1
_space_group_name_Hall 'P 1'
loop_
_atom_site_label
_atom_site_type_symbol
_atom_site_fract_x
_atom_site_fract_y
_atom_site_fract_z
_atom_site_occupancy
Cs1 Cs 0.7500 0.1609 0.5185 1
Cs2 Cs 0.2500 0.5185 0.1609 1
Cs3 Cs 0.7500 0.4815 0.8391 1
Cs4 Cs 0.2500 0.8391 0.4815 1
Zn1 Zn 0.7500 0.8286 0.1714 1
Zn2 Zn 0.2500 0.1714 0.8286 1
Cd1 Cd 0.2500 0.4230 0.5770 1
Cd2 Cd 0.7500 0.5770 0.4230 1
Cd3 Cd 0.0001 0.8924 0.8924 1
Cd4 Cd 0.4999 0.1076 0.1076 1
Cd5 Cd 0.5001 0.8924 0.8924 1
Cd6 Cd 0.9999 0.1076 0.1076 1
```

Output
Energy relative to the elements (eV/atom): 0.0116

---

5.
A plane-wave DFT calculation with GGA-PBE was carried out for an optimized crystal structure of Er4Ge2SeS.

The structure in CIF format:
```
data_Er4Ge2SeS
_cell_length_a 4.0546
_cell_length_b 7.0430
_cell_length_c 7.0179
_cell_angle_alpha 70.64
_cell_angle_beta 90.00
_cell_angle_gamma 90.00
_space_group_name_H-M_alt 'P 1'
_space_group_IT_number 1
_space_group_name_Hall 'P 1'
loop_
_atom_site_label
_atom_site_type_symbol
_atom_site_fract_x
_atom_site_fract_y
_atom_site_fract_z
_atom_site_occupancy
Er1 Er 0.0000 0.7598 0.7423 1
Er2 Er 0.0000 0.2402 0.2577 1
Er3 Er 0.5000 0.7566 0.2515 1
Er4 Er 0.5000 0.2434 0.7485 1
Ge1 Ge 0.0000 0.0000 0.0000 1
Ge2 Ge 0.5000 0.0000 0.5000 1
Se1 Se 0.5000 0.5000 0.0000 1
S1 S 0.0000 0.5000 0.5000 1
```

Output
Formation energy from raw total energies (eV per atom): -1.391

---

6.
A plane-wave DFT calculation with GGA-PBE was carried out for an optimized crystal structure of LaTbNi3.

The structure in CIF format:
```
data_LaTbNi3
_cell_length_a 4.0472
_cell_length_b 3.8430
_cell_length_c 12.8443
_cell_angle_alpha 98.60
_cell_angle_beta 90.00
_cell_angle_gamma 90.00
_space_group_name_H-M_alt 'P 1'
_space_group_IT_number 1
_space_group_name_Hall 'P 1'
loop_
_atom_site_label
_atom_site_type_symbol
_atom_site_fract_x
_atom_site_fract_y
_atom_site_fract_z
_atom_site_occupancy
La1 La 0.2500 0.8033 0.6066 1
La2 La 0.7500 0.1967 0.3934 1
Tb1 Tb 0.2500 0.0666 0.1332 1
Tb2 Tb 0.7500 0.9334 0.8668 1
Ni1 Ni 0.2500 0.3873 0.7745 1
Ni2 Ni 0.7500 0.6127 0.2255 1
Ni3 Ni 0.2500 0.4778 0.9555 1
Ni4 Ni 0.7500 0.5222 0.0445 1
Ni5 Ni 0.7500 0.3347 0.6693 1
Ni6 Ni 0.2500 0.6653 0.3307 1
```

Output
Energy relative to the elements (eV/atom): -0.3560

---

7.
A plane-wave DFT calculation with GGA-PBE was carried out for an optimized crystal structure of BiBSe2N.

The structure in CIF format:
```
data_BiBSe2N
_cell_length_a 5.5408
_cell_length_b 5.5408
_cell_length_c 4.4448
_cell_angle_alpha 90.00
_cell_angle_beta 90.00
_cell_angle_gamma 90.00
_space_group_name_H-M_alt 'P 1'
_space_group_IT_number 1
_space_group_name_Hall 'P 1'
loop_
_atom_site_label
_atom_site_type_symbol
_atom_site_fract_x
_atom_site_fract_y
_atom_site_fract_z
_atom_site_occupancy
B1 B 0.5000 0.5000 0.5000 1
Bi1 Bi 0.0000 0.0000 0.0000 1
Se1 Se 0.0000 0.5000 0.0000 1
Se2 Se 0.5000 0.0000 0.0000 1
N1 N 0.0000 0.0000 0.5000 1
```

Output
Formation energy from raw total energies (eV per atom): 1.874